1.
# La2PmAgN | Alexandria via LeMat-Bulk | PBE | optimized geometry
data_La2PmAgN
_cell_length_a 5.105
_cell_length_b 5.105
_cell_length_c 4.957
_cell_angle_alpha 90.00
_cell_angle_beta 90.00
_cell_angle_gamma 90.00
_symmetry_space_group_name_H-M 'P 4/m m m'
_symmetry_Int_Tables_number 123
_symmetry_space_group_name_Hall '-P 4 2'
loop_
_atom_site_label
_atom_site_type_symbol
_atom_site_fract_x
_atom_site_fract_y
_atom_site_fract_z
La1 La 0.000 0.500 0.000
Pm1 Pm 0.000 0.000 0.500
Ag1 Ag 0.500 0.500 0.500
N1 N 0.000 0.000 0.000
# Mass density   7.00 Mg/m³
# E_form (uncorrected)   -0.615 eV per atom
# Energy   -5.771 eV/atom

2.
# LaPm2AgN | Alexandria via LeMat-Bulk | PBE | optimized geometry
data_LaPm2AgN
_cell_length_a 4.963
_cell_length_b 4.963
_cell_length_c 5.103
_cell_angle_alpha 90.00
_cell_angle_beta 90.00
_cell_angle_gamma 90.00
_symmetry_space_group_name_H-M 'P 4/m m m'
_symmetry_Int_Tables_number 123
_symmetry_space_group_name_Hall '-P 4 2'
loop_
_atom_site_label
_atom_site_type_symbol
_atom_site_fract_x
_atom_site_fract_y
_atom_site_fract_z
La1 La 0.000 0.000 0.000
Pm1 Pm 0.000 0.500 0.500
Ag1 Ag 0.500 0.500 0.000
N1 N 0.000 0.000 0.500
# Mass density   7.28 Mg/m³
# E_form (uncorrected)   -0.615 eV per atom
# Energy   -5.736 eV/atom